1.
Entry from Alexandria via LeMat-Bulk: crystalline CsSrY2 at its relaxed geometry (PBE-GGA).

Cell lengths 7.766, 7.766, 7.766 Å; angles 101.85, 101.85, 126.10 degrees
Atoms (fractional coordinates):
Cs 0.000 0.000 0.000
Cs 0.750 0.250 0.500
Sr 0.250 0.750 0.500
Sr 0.500 0.500 0.000
Y 0.101 0.625 0.976
Y 0.375 0.351 0.476
Y 0.649 0.125 0.024
Y 0.875 0.899 0.524

Results
formation energy from the elements: 311 kJ/mol of formula units
DOS at the Fermi energy: 5.24 states/eV/f.u.

2.
Entry from Alexandria via LeMat-Bulk: crystalline Ca2HfTiAs4 at its relaxed geometry (PBE-GGA).

Cell lengths 6.724, 3.895, 7.143 Å; angles 90.00, 108.33, 90.00 degrees
Atoms (fractional coordinates):
Ca 0.000 0.000 0.000
Ca 0.500 0.500 0.000
Hf 0.000 0.500 0.500
Ti 0.500 0.000 0.500
As 0.247 0.000 0.721
As 0.268 0.500 0.284
As 0.732 0.500 0.716
As 0.753 0.000 0.279

Results
formation energy from the elements: -821 kJ/mol of formula units
DOS at the Fermi energy: 1.39 states/eV/f.u.